Here is an optimized crystal structure of BaMg3Tl4 from Alexandria. Energies are from PBE.

M_tot ... 0.000 μB per atom
Volume ... 30.57 Å³/atom
Crystal system ... tetragonal
Energy of formation from the pure elements ... -9.12 kJ/mol of atoms

Cell lengths 5.2198, 5.2198, 8.9762 Å; angles 90.00, 90.00, 90.00 degrees
Closest atoms and distances in Å follow each position.
Space group P4/mmm (No. 123)
Inequivalent atoms, fractional coordinates:
1 Ba 0.0000 0.0000 0.0000 (multiplicity 1)  8 Tl 3.89, 8 Mg 3.97
2 Mg 0.0000 0.0000 0.5000 (multiplicity 1)  8 Tl 3.06
3 Mg 0.5000 0.5000 0.1623 (multiplicity 2)  1 Mg 2.91, 4 Tl 2.97
4 Tl 0.0000 0.5000 0.3212 (multiplicity 4)  4 Mg 2.97-3.06, 1 Tl 3.21